The following is a GGA-PBE calculation of crystalline KSb2Ru at its relaxed geometry, from the Alexandria database.

Cell: 4.982 4.982 4.982 Å, 60.00 60.00 60.00°
Sites, in units of the cell vectors:
K: 0.000 0.000 0.000
Sb: 0.250 0.250 0.250
Sb: 0.750 0.750 0.750
Ru: 0.500 0.500 0.500

Output
density of states at the Fermi level = 0.621 states/eV per atom
space group = Fm-3m
spin magnetization = 0.00 μB/cell
formation energy without anion corrections = 296 meV per atom
raw total energy = -17.434 eV/f.u.

---

The following is a GGA-PBE calculation of crystalline HoGa12Ir6 at its relaxed geometry, from the Alexandria database.

Cell: 7.203 7.203 7.203 Å, 105.19 105.19 105.19°
Sites, in units of the cell vectors:
Ho: 0.000 0.000 0.000
Ga: 0.114 0.500 0.886
Ga: 0.114 0.886 0.500
Ga: 0.129 0.401 0.401
Ga: 0.401 0.129 0.401
Ga: 0.401 0.401 0.129
Ga: 0.500 0.114 0.886
Ga: 0.500 0.886 0.114
Ga: 0.599 0.599 0.871
Ga: 0.599 0.871 0.599
Ga: 0.871 0.599 0.599
Ga: 0.886 0.114 0.500
Ga: 0.886 0.500 0.114
Ir: 0.276 0.276 0.697
Ir: 0.276 0.697 0.276
Ir: 0.303 0.724 0.724
Ir: 0.697 0.276 0.276
Ir: 0.724 0.303 0.724
Ir: 0.724 0.724 0.303

Output
density of states at the Fermi level = 0.437 states/eV per atom
space group = R-3m
spin magnetization = 0.00 μB/cell
E_form = -396 meV/atom
raw total energy = -101.585 eV/f.u.